{"formula": "La5Cu", "functional": "GGA-PBE", "state": "optimized geometry", "lattice_angstrom": [[6.240, 0.000, 0.000], [-3.120, 5.404, 0.000], [0.000, 0.000, 5.554]], "species": ["La", "La", "La", "La", "La", "Cu"], "frac_coords": [[0.000, 0.699, 0.000], [0.301, 0.301, 0.000], [0.333, 0.667, 0.500], [0.667, 0.333, 0.500], [0.699, 0.000, 0.000], [0.000, 0.000, 0.500]], "de_polymorph_mev_per_atom": 139.3, "mass_density_g_cm3": 6.72, "e_tot_ev_per_atom": -4.690, "e_form_ev_per_atom": 0.099, "n_ef_per_ev_atom": 1.416}